No. 1
Entry from Alexandria: a geometry-optimized YMnAg structure (PBEsol).

Magnetic moment = 3.4 μB per formula unit
Space group = F-43m

Cell: 4.5135 4.5135 4.5135 Å, 60.00 60.00 60.00°
Closest atoms and distances in Å follow each position.
Fractional coordinates of all 3 atoms:
Y: 0.0000 0.0000 0.0000  4 Mn 2.76
Mn: 0.2500 0.2500 0.2500  4 Ag 2.76, 4 Y 2.76
Ag: 0.5000 0.5000 0.5000  4 Mn 2.76



No. 2
Entry from Alexandria: a geometry-optimized YMnAg structure (PBEsol).

Magnetic moment = 3.6 μB per formula unit
Space group = F-43m

Cell: 4.6671 4.6671 4.6671 Å, 60.00 60.00 60.00°
Closest atoms and distances in Å follow each position.
Fractional coordinates of all 3 atoms:
Mn: 0.5000 0.5000 0.5000  4 Y 2.86
Ag: 0.0000 0.0000 0.0000  4 Y 2.86
Y: 0.2500 0.2500 0.2500  4 Mn 2.86, 4 Ag 2.86



no.,energy of formation (eV per atom)
1,0.47
2,0.84